This record from Alexandria describes an optimized crystal structure of FeHN2F. The functional is PBE with a Hubbard U.

- Excess energy over the best structure of this formula in the dataset: 0.0000 eV per atom
- Calculated density: 4.22 g cm⁻³
- M_tot: 3.76 μB per formula unit
- Space group: No. 123

Cell lengths 2.989, 2.989, 4.575 Å; angles 90.00, 90.00, 90.00 degrees
Last column: magnetic moment on the atom in μB.
Element x y z (fractional)
H 0.000 0.000 0.000  0.00
N 0.000 0.500 0.000  -0.04
N 0.500 0.000 0.000  -0.04
Fe 0.500 0.500 0.500  3.77
F 0.000 0.000 0.500  0.06